Record 1
A relaxed structure of Ta2NbRh2, computed with GGA-PBE.

Properties
Energy above the lowest structure with this stoichiometry = 0.0 kJ/mol of atoms
Symmetry = P4/mbm (127)

a b c (Å): 7.620 7.620 2.930
angles (deg): 90.00 90.00 90.00
Positions (direct):
Ta: 0.167 0.333 0.000
Ta: 0.333 0.833 0.000
Ta: 0.667 0.167 0.000
Ta: 0.833 0.667 0.000
Nb: 0.000 0.000 0.500
Nb: 0.500 0.500 0.500
Rh: 0.131 0.631 0.500
Rh: 0.369 0.131 0.500
Rh: 0.631 0.869 0.500
Rh: 0.869 0.369 0.500



Record 2
A relaxed structure of Ta4Nb5Rh, computed with GGA-PBE.

Properties
Energy above the lowest structure with this stoichiometry = 44.6 kJ/mol of atoms
Symmetry = C2/m (12)

a b c (Å): 7.735 7.735 6.392
angles (deg): 112.58 112.58 33.97
Positions (direct):
Ta: 0.004 0.004 0.260
Ta: 0.336 0.336 0.571
Ta: 0.664 0.664 0.429
Ta: 0.996 0.996 0.740
Nb: 0.171 0.171 0.150
Nb: 0.186 0.186 0.721
Nb: 0.500 0.500 0.000
Nb: 0.814 0.814 0.279
Nb: 0.829 0.829 0.850
Rh: 0.500 0.500 0.500



Record 3
A relaxed structure of TaNbRh, computed with GGA-PBE.

Properties
Energy above the lowest structure with this stoichiometry = 16.5 kJ/mol of atoms
Symmetry = P3m1 (156)

a b c (Å): 4.563 4.563 2.804
angles (deg): 90.00 90.00 120.00
Positions (direct):
Ta: 0.000 0.000 0.000
Nb: 0.333 0.667 0.651
Rh: 0.667 0.333 0.310



Record 4
A relaxed structure of TaNbRh3, computed with GGA-PBE.

Properties
Energy above the lowest structure with this stoichiometry = 11.4 kJ/mol of atoms
Symmetry = Cmcm (63)

a b c (Å): 6.910 6.910 5.019
angles (deg): 90.00 90.00 134.54
Positions (direct):
Ta: 0.180 0.820 0.750
Ta: 0.820 0.180 0.250
Nb: 0.464 0.536 0.250
Nb: 0.536 0.464 0.750
Rh: 0.000 0.000 0.000
Rh: 0.000 0.000 0.500
Rh: 0.090 0.403 0.750
Rh: 0.403 0.090 0.250
Rh: 0.597 0.910 0.750
Rh: 0.910 0.597 0.250



Record 5
A relaxed structure of Ta4Nb4Rh, computed with GGA-PBE.

Properties
Total energy = -10.74 eV/atom
Symmetry = I4/mmm (139)

a b c (Å): 7.114 7.114 7.114
angles (deg): 93.14 93.14 152.91
Positions (direct):
Ta: 0.164 0.164 0.329
Ta: 0.164 0.836 0.000
Ta: 0.836 0.164 0.000
Ta: 0.836 0.836 0.671
Nb: 0.169 0.500 0.669
Nb: 0.500 0.169 0.669
Nb: 0.500 0.831 0.331
Nb: 0.831 0.500 0.331
Rh: 0.500 0.500 0.000



Record 6
A relaxed structure of Ta5Nb2Rh, computed with GGA-PBE.

Properties
Total energy = -10.93 eV/atom
Symmetry = P2/m (10)

a b c (Å): 5.596 4.660 10.954
angles (deg): 90.00 95.22 90.00
Positions (direct):
Ta: 0.000 0.000 0.000
Ta: 0.125 0.000 0.256
Ta: 0.193 0.500 0.618
Ta: 0.370 0.500 0.124
Ta: 0.375 0.000 0.752
Ta: 0.500 0.000 0.500
Ta: 0.625 0.000 0.248
Ta: 0.630 0.500 0.876
Ta: 0.807 0.500 0.382
Ta: 0.875 0.000 0.744
Nb: 0.126 0.500 0.873
Nb: 0.307 0.500 0.377
Nb: 0.693 0.500 0.623
Nb: 0.874 0.500 0.127
Rh: 0.000 0.000 0.500
Rh: 0.500 0.000 0.000



| no. | total moment (μB per cell) |
| --- | --- |
| 1 | 0.00 |
| 2 | 0.00 |
| 3 | 0.00 |
| 4 | 0.00 |
| 5 | 0.00 |
| 6 | 0.00 |